Here is a geometry-optimized YTaTc2 structure from the Alexandria database. Energies are from GGA-PBE.

```
YTaTc2
1.0
-0.019 2.120 -2.476
-4.643 -0.466 -0.364
-0.591 3.525 3.022
Tc Y Ta
2 1 1
direct
0.000 0.500 0.500
0.000 0.000 0.000
0.500 0.500 0.000
0.500 0.000 0.500
```

Calculated values
The value obtained for the density is 10.83 g cm⁻³. The calculation puts the total DFT energy (no corrections) at -9.7846 eV per atom. Its energy of formation is -0.022 eV per atom.